VASP calculation (PBE) on a relaxed structure of HoAgAu4.

a b c (Å): 5.531 5.531 5.531
angles (deg): 60.00 60.00 60.00
Fractional positions:
Ho1 0.000 0.000 0.000
Ag1 0.750 0.750 0.750
Au1 0.375 0.375 0.375
Au2 0.375 0.375 0.874
Au3 0.375 0.874 0.375
Au4 0.874 0.375 0.375

Results
Energy of formation from the pure elements: -0.3789 eV/atom
Energy: -3.802 eV per atom
DOS(E_F): 0.956 states/eV per atom
Calculated density: 14.72 g cm⁻³